1.
{
  "formula": "CoPt5",
  "functional": "GGA-PBEsol",
  "state": "optimized geometry",
  "total_energy_ev_per_atom": -7.129,
  "formation_energy_ev_per_fu": -0.22,
  "sg": "P4/mmm, No. 123",
  "lattice_angstrom": [[2.7218, 0.0000, 0.0000], [0.0000, 2.7218, 0.0000], [0.0000, 0.0000, 11.5651]],
  "species": ["Co", "Pt", "Pt", "Pt", "Pt", "Pt"],
  "fractional_positions": [[0.0000, 0.0000, 0.0000], [0.0000, 0.0000, 0.3268], [0.0000, 0.0000, 0.6732], [0.5000, 0.5000, 0.1509], [0.5000, 0.5000, 0.5000], [0.5000, 0.5000, 0.8491]]
}

2.
{
  "formula": "Cs2KHg2",
  "functional": "GGA-PBEsol",
  "state": "optimized geometry",
  "total_energy_ev_per_atom": -0.923,
  "polymorph_energy_mev_per_atom": 0,
  "formation_energy_ev_per_fu": -0.46,
  "sg": "I4/mmm, No. 139",
  "lattice_angstrom": [[-2.8939, 2.8939, 7.3812], [2.8939, -2.8939, 7.3812], [2.8939, 2.8939, -7.3812]],
  "species": ["Cs", "Cs", "K", "Hg", "Hg"],
  "fractional_positions": [[0.2500, 0.7500, 0.5000], [0.7500, 0.2500, 0.5000], [0.0000, 0.0000, 0.0000], [0.4044, 0.4044, 0.0000], [0.5956, 0.5956, 0.0000]]
}